1.
H3PbO | PBEsol | relaxed

Cell and atoms, written as POSCAR:
```
H3PbO
1.0
3.5189 0.0000 0.0000
0.0000 3.5189 0.0000
0.0000 0.0000 3.5189
H Pb O
3 1 1
Direct
0.0000 0.0000 0.5000
0.0000 0.5000 0.0000
0.5000 0.0000 0.0000
0.5000 0.5000 0.5000
0.0000 0.0000 0.0000
```

Computed properties:
Raw total energy: -3.14 eV/atom



2.
VZnHPbO5 | PBEsol | relaxed

Cell and atoms, written as POSCAR:
```
VZnHPbO5
1.0
7.5199 0.0000 0.0000
0.0000 6.0629 0.0000
0.0000 0.0000 9.3700
V Zn H Pb O
4 4 4 4 20
Direct
0.1287 0.2500 0.1848
0.3713 0.7500 0.6848
0.6287 0.2500 0.3152
0.8713 0.7500 0.8152
0.0000 0.0000 0.5000
0.0000 0.5000 0.5000
0.5000 0.0000 0.0000
0.5000 0.5000 0.0000
0.2354 0.7500 0.0130
0.2646 0.2500 0.5130
0.7354 0.7500 0.4870
0.7646 0.2500 0.9870
0.1295 0.2500 0.8220
0.3705 0.7500 0.3220
0.6295 0.2500 0.6780
0.8705 0.7500 0.1780
0.0500 0.7500 0.9233
0.1201 0.0107 0.2879
0.1201 0.4893 0.2879
0.1473 0.2500 0.5658
0.1896 0.7500 0.5707
0.3104 0.2500 0.0707
0.3527 0.7500 0.0658
0.3799 0.5107 0.7879
0.3799 0.9893 0.7879
0.4500 0.2500 0.4233
0.5500 0.7500 0.5767
0.6201 0.0107 0.2121
0.6201 0.4893 0.2121
0.6473 0.2500 0.9342
0.6896 0.7500 0.9293
0.8104 0.2500 0.4293
0.8527 0.7500 0.4342
0.8799 0.5107 0.7121
0.8799 0.9893 0.7121
0.9500 0.2500 0.0767
```

Computed properties:
Raw total energy: -6.72 eV/atom



3.
HPdO2 | PBEsol | relaxed

Cell and atoms, written as POSCAR:
```
HPdO2
1.0
0.0000 2.5104 2.5104
2.5104 0.0000 2.5104
2.5104 2.5104 0.0000
H Pd O
1 1 2
Direct
0.0000 0.0000 0.0000
0.5000 0.5000 0.5000
0.2500 0.2500 0.2500
0.7500 0.7500 0.7500
```

Computed properties:
Raw total energy: -4.52 eV/atom



4.
HPdO2 | PBEsol | relaxed

Cell and atoms, written as POSCAR:
```
HPdO2
1.0
-2.1572 2.1572 3.6122
2.1572 -2.1572 3.6122
2.1572 2.1572 -3.6122
H Pd O
2 2 4
Direct
0.0000 0.0000 0.0000
0.7500 0.2500 0.5000
0.2500 0.7500 0.5000
0.5000 0.5000 0.0000
0.0417 0.6250 0.9167
0.3750 0.2917 0.4167
0.7083 0.1250 0.0833
0.8750 0.9583 0.5833
```

Computed properties:
Raw total energy: -4.85 eV/atom



5.
PrH3O3 | PBEsol | relaxed

Cell and atoms, written as POSCAR:
```
PrH3O3
1.0
6.4236 0.0000 0.0000
-3.2118 5.5630 0.0000
0.0000 0.0000 3.7173
Pr H O
2 6 6
Direct
0.3333 0.6667 0.2500
0.6667 0.3333 0.7500
0.1356 0.8593 0.7500
0.1407 0.2763 0.7500
0.2763 0.1356 0.2500
0.7237 0.8644 0.7500
0.8593 0.7237 0.2500
0.8644 0.1407 0.2500
0.0811 0.3898 0.7500
0.3087 0.9189 0.7500
0.3898 0.3087 0.2500
0.6102 0.6913 0.7500
0.6913 0.0811 0.2500
0.9189 0.6102 0.2500
```

Computed properties:
Raw total energy: -6.34 eV/atom



6.
PrH3S3O12 | PBEsol | relaxed

Cell and atoms, written as POSCAR:
```
PrH3S3O12
1.0
9.3990 0.0000 0.0000
-4.6995 8.1398 0.0000
0.0000 0.0000 5.7926
Pr H S O
2 6 6 24
Direct
0.3333 0.6667 0.0000
0.6667 0.3333 0.5000
0.0955 0.8323 0.8615
0.1677 0.2632 0.8615
0.2632 0.0955 0.3615
0.7368 0.9045 0.8615
0.8323 0.7368 0.3615
0.9045 0.1677 0.3615
0.0902 0.3927 0.4933
0.3025 0.9098 0.4933
0.3927 0.3025 0.9933
0.6073 0.6975 0.4933
0.6975 0.0902 0.9933
0.9098 0.6073 0.9933
0.0009 0.2018 0.4701
0.0326 0.5564 0.9966
0.1804 0.4236 0.7140
0.2009 0.9991 0.4701
0.2018 0.2009 0.9701
0.2048 0.4620 0.3010
0.2432 0.8196 0.7140
0.2572 0.7952 0.3010
0.4236 0.2432 0.2140
0.4436 0.4762 0.9966
0.4620 0.2572 0.8010
0.4762 0.0326 0.4966
0.5238 0.9674 0.9966
0.5380 0.7428 0.3010
0.5564 0.5238 0.4966
0.5764 0.7568 0.7140
0.7428 0.2048 0.8010
0.7568 0.1804 0.2140
0.7952 0.5380 0.8010
0.7982 0.7991 0.4701
0.7991 0.0009 0.9701
0.8196 0.5764 0.2140
0.9674 0.4436 0.4966
0.9991 0.7982 0.9701
```

Computed properties:
Raw total energy: -6.43 eV/atom



7.
HPtO3 | PBEsol | relaxed

Cell and atoms, written as POSCAR:
```
HPtO3
1.0
3.8236 0.0000 0.0000
0.0000 3.8236 0.0000
0.0000 0.0000 3.8236
H Pt O
1 1 3
Direct
0.0000 0.0000 0.0000
0.5000 0.5000 0.5000
0.0000 0.5000 0.5000
0.5000 0.0000 0.5000
0.5000 0.5000 0.0000
```

Computed properties:
Raw total energy: -4.56 eV/atom



8.
RbHSO4 | PBEsol | relaxed

Cell and atoms, written as POSCAR:
```
RbHSO4
1.0
14.3738 0.0000 0.0000
0.0000 4.4797 0.0000
-7.3213 0.0000 12.8103
Rb H S O
8 8 8 32
Direct
0.1234 0.2207 0.1620
0.1234 0.2793 0.6620
0.3745 0.6121 0.0799
0.3745 0.8879 0.5799
0.6255 0.1121 0.4201
0.6255 0.3879 0.9201
0.8766 0.7207 0.3380
0.8766 0.7793 0.8380
0.1209 0.7375 0.3573
0.1209 0.7625 0.8573
0.3656 0.2207 0.3771
0.3656 0.2793 0.8771
0.6344 0.7207 0.1229
0.6344 0.7793 0.6229
0.8791 0.2375 0.1427
0.8791 0.2625 0.6427
0.1262 0.2224 0.9186
0.1262 0.2776 0.4186
0.3730 0.6741 0.3216
0.3730 0.8259 0.8216
0.6270 0.1741 0.1784
0.6270 0.3259 0.6784
0.8738 0.7224 0.5814
0.8738 0.7776 0.0814
0.0334 0.1912 0.4282
0.0334 0.3088 0.9282
0.0864 0.5216 0.3315
0.0864 0.9784 0.8315
0.1638 0.0285 0.3779
0.1638 0.4715 0.8779
0.2142 0.1001 0.0147
0.2142 0.3999 0.5147
0.2799 0.7472 0.2208
0.2799 0.7528 0.7208
0.3358 0.0610 0.8751
0.3358 0.4390 0.3751
0.4089 0.5688 0.8949
0.4089 0.9312 0.3949
0.4623 0.5495 0.3131
0.4623 0.9505 0.8131
0.5377 0.0495 0.1869
0.5377 0.4505 0.6869
0.5911 0.0688 0.6051
0.5911 0.4312 0.1051
0.6642 0.5610 0.6249
0.6642 0.9390 0.1249
0.7201 0.2472 0.2792
0.7201 0.2528 0.7792
0.7858 0.6001 0.4853
0.7858 0.8999 0.9853
0.8362 0.5285 0.1221
0.8362 0.9715 0.6221
0.9136 0.0216 0.1685
0.9136 0.4784 0.6685
0.9666 0.6912 0.0718
0.9666 0.8088 0.5718
```

Computed properties:
Raw total energy: -5.85 eV/atom



9.
Rb3HS2O8 | PBEsol | relaxed

Cell and atoms, written as POSCAR:
```
Rb3HS2O8
1.0
7.5729 -2.9499 0.0000
7.5729 2.9499 0.0000
-2.2538 0.0000 9.8169
Rb H S O
6 2 4 16
Direct
0.0565 0.5635 0.0972
0.2223 0.7777 0.5000
0.3949 0.8439 0.1955
0.5635 0.0565 0.5972
0.7777 0.2223 0.0000
0.8439 0.3949 0.6955
0.2895 0.3275 0.3532
0.3275 0.2895 0.8532
0.2065 0.6411 0.8117
0.4124 0.9710 0.8824
0.6411 0.2065 0.3117
0.9710 0.4124 0.3824
0.0046 0.8678 0.7435
0.1149 0.4785 0.4050
0.1316 0.1801 0.4435
0.1488 0.4951 0.7920
0.1801 0.1316 0.9435
0.2322 0.6920 0.9606
0.3878 0.9254 0.7338
0.4402 0.4855 0.7517
0.4785 0.1149 0.9050
0.4855 0.4402 0.2517
0.4951 0.1488 0.2920
0.6158 0.7466 0.9508
0.6920 0.2322 0.4606
0.7466 0.6158 0.4508
0.8678 0.0046 0.2435
0.9254 0.3878 0.2338
```

Computed properties:
Raw total energy: -5.84 eV/atom
Offset from the most stable computed form: 0.000 eV/atom



10.
RbHSO4 | PBEsol | relaxed

Cell and atoms, written as POSCAR:
```
RbHSO4
1.0
14.3499 0.0000 0.0000
0.0000 4.5127 0.0000
-7.5612 0.0000 12.6853
Rb H S O
8 8 8 32
Direct
0.0000 0.0099 0.0000
0.0000 0.9901 0.5000
0.2520 0.4154 0.4197
0.2520 0.5846 0.9197
0.5003 0.1519 0.2460
0.5003 0.8481 0.7460
0.7504 0.4253 0.6706
0.7504 0.5747 0.1706
0.2483 0.0094 0.2211
0.2483 0.9906 0.7211
0.5024 0.4101 0.9338
0.5024 0.5899 0.4338
0.7511 0.0032 0.4739
0.7511 0.9968 0.9739
0.9976 0.4549 0.6961
0.9976 0.5451 0.1961
0.0023 0.0053 0.2565
0.0023 0.9947 0.7565
0.2531 0.4440 0.6646
0.2531 0.5560 0.1646
0.5008 0.0149 0.0100
0.5008 0.9851 0.5100
0.7471 0.4512 0.9130
0.7471 0.5488 0.4130
0.0396 0.2497 0.2148
0.0396 0.7503 0.7148
0.0918 0.1130 0.8547
0.0918 0.8870 0.3547
0.1573 0.4802 0.0636
0.1573 0.5198 0.5636
0.2170 0.2057 0.7174
0.2170 0.7943 0.2174
0.2910 0.3034 0.2401
0.2910 0.6966 0.7401
0.3419 0.3231 0.6547
0.3419 0.6769 0.1547
0.4026 0.1002 0.0102
0.4026 0.8998 0.5102
0.4980 0.2946 0.4796
0.4980 0.7054 0.9796
0.5027 0.1897 0.9182
0.5027 0.8103 0.4182
0.5998 0.0883 0.1089
0.5998 0.9117 0.6089
0.6589 0.3298 0.8145
0.6589 0.6702 0.3145
0.7083 0.2987 0.4510
0.7083 0.7013 0.9510
0.7836 0.2108 0.0013
0.7836 0.7892 0.5013
0.8429 0.4690 0.4080
0.8429 0.5310 0.9080
0.9084 0.0919 0.2640
0.9084 0.9081 0.7640
0.9622 0.2420 0.6699
0.9622 0.7580 0.1699
```

Computed properties:
Raw total energy: -5.84 eV/atom



11.
Rb3HS2O8 | PBEsol | relaxed

Cell and atoms, written as POSCAR:
```
Rb3HS2O8
1.0
9.9165 -5.7896 0.0000
9.9165 5.7896 0.0000
-3.2344 0.0000 7.6347
Rb H S O
12 4 8 32
Direct
0.1401 0.6626 0.4077
0.1428 0.1428 0.9279
0.2265 0.7735 0.0000
0.2358 0.2358 0.4788
0.3374 0.8599 0.5923
0.3598 0.3598 0.1198
0.6402 0.6402 0.8802
0.6626 0.1401 0.4077
0.7642 0.7642 0.5212
0.7735 0.2265 0.0000
0.8572 0.8572 0.0721
0.8599 0.3374 0.5923
0.2413 0.4821 0.7396
0.4821 0.2413 0.7396
0.5179 0.7587 0.2604
0.7587 0.5179 0.2604
0.0445 0.0445 0.3188
0.0660 0.5264 0.8349
0.4462 0.4462 0.6647
0.4736 0.9340 0.1651
0.5264 0.0660 0.8349
0.5538 0.5538 0.3353
0.9340 0.4736 0.1651
0.9555 0.9555 0.6812
0.0810 0.0810 0.1918
0.0809 0.4037 0.2312
0.1017 0.1017 0.5008
0.1034 0.8927 0.2915
0.1073 0.8966 0.7085
0.1135 0.5937 0.0118
0.1152 0.3793 0.8174
0.1351 0.5400 0.7086
0.3793 0.1152 0.8174
0.3851 0.5967 0.7126
0.3960 0.3960 0.4780
0.3964 0.3964 0.7703
0.4033 0.6149 0.2874
0.4037 0.0809 0.2312
0.4063 0.8865 0.9882
0.4600 0.8649 0.2914
0.5400 0.1351 0.7086
0.5937 0.1135 0.0118
0.5963 0.9191 0.7688
0.5967 0.3851 0.7126
0.6036 0.6036 0.2297
0.6040 0.6040 0.5220
0.6149 0.4033 0.2874
0.6207 0.8848 0.1826
0.8649 0.4600 0.2914
0.8848 0.6207 0.1826
0.8865 0.4063 0.9882
0.8927 0.1034 0.2915
0.8966 0.1073 0.7085
0.8983 0.8983 0.4992
0.9191 0.5963 0.7688
0.9190 0.9190 0.8082
```

Computed properties:
Raw total energy: -5.83 eV/atom
Offset from the most stable computed form: 0.010 eV/atom



12.
RbVH6SO9 | PBEsol | relaxed

Cell and atoms, written as POSCAR:
```
RbVH6SO9
1.0
6.2011 0.0000 0.0000
0.0000 9.7711 0.0000
-2.0425 0.0000 6.2709
Rb V H S O
2 2 12 2 18
Direct
0.1871 0.0000 0.1831
0.8129 0.5000 0.8169
0.1250 0.3493 0.3854
0.8750 0.8493 0.6146
0.0254 0.1146 0.6500
0.2017 0.6161 0.2649
0.2801 0.5603 0.6929
0.3258 0.4254 0.8284
0.3887 0.6891 0.0675
0.4614 0.1985 0.6921
0.5386 0.6985 0.3079
0.6113 0.1891 0.9325
0.6742 0.9254 0.1716
0.7199 0.0603 0.3071
0.7983 0.1161 0.7351
0.9746 0.6146 0.3500
0.4148 0.8498 0.7338
0.5852 0.3498 0.2662
0.0479 0.2912 0.1432
0.0728 0.5572 0.2878
0.1791 0.8786 0.5862
0.1838 0.2084 0.5358
0.2245 0.4645 0.6928
0.3789 0.7068 0.2116
0.4401 0.7031 0.7860
0.4418 0.3915 0.4035
0.4657 0.9348 0.9242
0.5343 0.4348 0.0758
0.5582 0.8915 0.5965
0.5599 0.2031 0.2140
0.6211 0.2068 0.7884
0.7755 0.9645 0.3072
0.8162 0.7084 0.4642
0.8209 0.3786 0.4138
0.9272 0.0572 0.7122
0.9521 0.7912 0.8568
```

Computed properties:
Raw total energy: -6.06 eV/atom



The lowest raw total energy belongs to which entry? VZnHPbO5